1.
This record from Alexandria via LeMat-Bulk describes an optimized crystal structure of Rb2Zr2PaTe6. The functional is PBE.

Results
Formation energy without anion corrections, eV per formula unit: -10.6
Volume, A^3/atom: 37.07
Space group: No. 12

Unit cell a=7.228 b=7.228 c=9.338 alpha=97.24 beta=97.24 gamma=120.24
Each line ends with the local moment (μB).
Fractional coordinates of all 11 atoms:
Te 0.932 0.592 0.301  -0.02
Te 0.408 0.068 0.699  -0.02
Te 0.068 0.408 0.699  -0.02
Te 0.282 0.282 0.303  -0.02
Te 0.718 0.718 0.697  -0.02
Te 0.592 0.932 0.301  -0.02
Zr 0.331 0.669 0.500  0.40
Zr 0.669 0.331 0.500  0.40
Rb 0.837 0.163 0.000  0.00
Rb 0.163 0.837 0.000  0.00
Pa 0.000 0.000 0.500  0.97

2.
This record from Alexandria via LeMat-Bulk describes an optimized crystal structure of PaRe2. The functional is PBE.

Results
Excess energy over the best structure of this formula in the dataset, eV per atom: 0.107
Formation energy from the elements, eV/atom: -0.037
Volume, A^3/atom: 18.54
Space group: No. 139

Unit cell a=3.030 b=3.030 c=6.425 alpha=103.64 beta=103.64 gamma=90.00
Fractional coordinates of all 3 atoms:
Re 0.311 0.311 0.621
Re 0.689 0.689 0.379
Pa 0.000 0.000 0.000

3.
This record from Alexandria via LeMat-Bulk describes an optimized crystal structure of Pa3Re. The functional is PBE.

Results
Excess energy over the best structure of this formula in the dataset, eV per atom: 0.171
Formation energy from the elements, eV/atom: 0.170
Volume, A^3/atom: 22.21
Space group: No. 139

Unit cell a=4.193 b=4.193 c=5.859 alpha=110.97 beta=110.97 gamma=90.00
Fractional coordinates of all 4 atoms:
Pa 0.750 0.250 0.500
Pa 0.250 0.750 0.500
Pa 0.500 0.500 0.000
Re 0.000 0.000 0.000

4.
This record from Alexandria via LeMat-Bulk describes an optimized crystal structure of PaRe3. The functional is PBE.

Results
Excess energy over the best structure of this formula in the dataset, eV per atom: 0.329
Formation energy from the elements, eV/atom: 0.299
Volume, A^3/atom: 17.34
Space group: No. 139

Unit cell a=4.816 b=4.816 c=4.816 alpha=126.79 beta=126.79 gamma=78.59
Fractional coordinates of all 4 atoms:
Pa 0.000 0.000 0.000
Re 0.750 0.250 0.500
Re 0.500 0.500 0.000
Re 0.250 0.750 0.500

What did the first record say?
This record from Alexandria via LeMat-Bulk describes an optimized crystal structure of Rb2Zr2PaTe6. The functional is PBE.

Results
Formation energy without anion corrections, eV per formula unit: -10.6
Volume, A^3/atom: 37.07
Space group: No. 12

Unit cell a=7.228 b=7.228 c=9.338 alpha=97.24 beta=97.24 gamma=120.24
Each line ends with the local moment (μB).
Fractional coordinates of all 11 atoms:
Te 0.932 0.592 0.301  -0.02
Te 0.408 0.068 0.699  -0.02
Te 0.068 0.408 0.699  -0.02
Te 0.282 0.282 0.303  -0.02
Te 0.718 0.718 0.697  -0.02
Te 0.592 0.932 0.301  -0.02
Zr 0.331 0.669 0.500  0.40
Zr 0.669 0.331 0.500  0.40
Rb 0.837 0.163 0.000  0.00
Rb 0.163 0.837 0.000  0.00
Pa 0.000 0.000 0.500  0.97

> The highest volume belongs to which entry?

Rb2Zr2PaTe6

> Look up the volume of the first one.

37.07 A^3/atom